No. 1
# Pu2MgSi4Pt3 (GGA-PBE, optimized geometry)
data_Pu2MgSi4Pt3
_cell_length_a 4.176
_cell_length_b 4.176
_cell_length_c 10.355
_cell_angle_alpha 90.00
_cell_angle_beta 90.00
_cell_angle_gamma 90.00
_space_group_name_H-M_alt 'P 1'
_space_group_IT_number 1
loop_
_space_group_symop_operation_xyz
'x,y,z'
loop_
_atom_site_label
_atom_site_type_symbol
_atom_site_fract_x
_atom_site_fract_y
_atom_site_fract_z
Pu1 Pu 0.500 0.000 0.244
Pu2 Pu 0.000 0.500 0.756
Mg1 Mg 0.500 0.500 0.500
Si1 Si 0.500 0.500 0.000
Si2 Si 0.000 0.000 0.000
Si3 Si 0.500 0.000 0.649
Si4 Si 0.000 0.500 0.351
Pt1 Pt 0.000 0.000 0.500
Pt2 Pt 0.500 0.000 0.881
Pt3 Pt 0.000 0.500 0.119
# Spin magnetization (μB/atom): 1.03
# Space group: P-4m2
# Calculated volume (Å³ per atom): 18.1
# Raw formation energy (meV/atom): -779
# Final energy (eV per cell): -77.86

No. 2
# PuMgSi2Pt5 (GGA-PBE, optimized geometry)
data_PuMgSi2Pt5
_cell_length_a 4.046
_cell_length_b 4.046
_cell_length_c 10.796
_cell_angle_alpha 90.00
_cell_angle_beta 90.00
_cell_angle_gamma 90.00
_space_group_name_H-M_alt 'P 1'
_space_group_IT_number 1
loop_
_space_group_symop_operation_xyz
'x,y,z'
loop_
_atom_site_label
_atom_site_type_symbol
_atom_site_fract_x
_atom_site_fract_y
_atom_site_fract_z
Pu1 Pu 0.000 0.000 0.500
Mg1 Mg 0.000 0.000 0.000
Si1 Si 0.500 0.500 0.282
Si2 Si 0.500 0.500 0.718
Pt1 Pt 0.000 0.500 0.170
Pt2 Pt 0.500 0.000 0.170
Pt3 Pt 0.000 0.500 0.830
Pt4 Pt 0.500 0.000 0.830
Pt5 Pt 0.500 0.500 0.500
# Spin magnetization (μB/atom): 0.60
# Space group: P4/mmm
# Calculated volume (Å³ per atom): 19.6
# Raw formation energy (meV/atom): -687
# Final energy (eV per cell): -63.16

No. 3
# Pu2MgSi3Pt4 (GGA-PBE, optimized geometry)
data_Pu2MgSi3Pt4
_cell_length_a 4.182
_cell_length_b 4.182
_cell_length_c 10.405
_cell_angle_alpha 90.00
_cell_angle_beta 90.00
_cell_angle_gamma 90.00
_space_group_name_H-M_alt 'P 1'
_space_group_IT_number 1
loop_
_space_group_symop_operation_xyz
'x,y,z'
loop_
_atom_site_label
_atom_site_type_symbol
_atom_site_fract_x
_atom_site_fract_y
_atom_site_fract_z
Pu1 Pu 0.500 0.000 0.247
Pu2 Pu 0.000 0.500 0.753
Mg1 Mg 0.500 0.500 0.500
Si1 Si 0.000 0.000 0.500
Si2 Si 0.500 0.000 0.871
Si3 Si 0.000 0.500 0.129
Pt1 Pt 0.500 0.500 0.000
Pt2 Pt 0.000 0.000 0.000
Pt3 Pt 0.500 0.000 0.643
Pt4 Pt 0.000 0.500 0.357
# Spin magnetization (μB/atom): 1.08
# Space group: P-4m2
# Calculated volume (Å³ per atom): 18.2
# Raw formation energy (meV/atom): -848
# Final energy (eV per cell): -79.17

No. 4
# Pu2MgSn3Pt4 (GGA-PBE, optimized geometry)
data_Pu2MgSn3Pt4
_cell_length_a 4.265
_cell_length_b 4.265
_cell_length_c 11.952
_cell_angle_alpha 90.00
_cell_angle_beta 90.00
_cell_angle_gamma 90.00
_space_group_name_H-M_alt 'P 1'
_space_group_IT_number 1
loop_
_space_group_symop_operation_xyz
'x,y,z'
loop_
_atom_site_label
_atom_site_type_symbol
_atom_site_fract_x
_atom_site_fract_y
_atom_site_fract_z
Pu1 Pu 0.500 0.000 0.257
Pu2 Pu 0.000 0.500 0.743
Mg1 Mg 0.500 0.500 0.500
Sn1 Sn 0.000 0.000 0.500
Sn2 Sn 0.500 0.000 0.864
Sn3 Sn 0.000 0.500 0.136
Pt1 Pt 0.500 0.500 0.000
Pt2 Pt 0.000 0.000 0.000
Pt3 Pt 0.500 0.000 0.644
Pt4 Pt 0.000 0.500 0.356
# Spin magnetization (μB/atom): 1.14
# Formation enthalpy at 0 K (meV per atom): -622
# Space group: P-4m2
# Calculated volume (Å³ per atom): 21.7
# Final energy (eV per cell): -72.65

No. 5
# PuMgTlPt (GGA-PBE, optimized geometry)
data_PuMgTlPt
_cell_length_a 5.014
_cell_length_b 5.014
_cell_length_c 5.014
_cell_angle_alpha 60.00
_cell_angle_beta 60.00
_cell_angle_gamma 60.00
_space_group_name_H-M_alt 'P 1'
_space_group_IT_number 1
loop_
_space_group_symop_operation_xyz
'x,y,z'
loop_
_atom_site_label
_atom_site_type_symbol
_atom_site_fract_x
_atom_site_fract_y
_atom_site_fract_z
Tl1 Tl 0.750 0.750 0.750
Mg1 Mg 0.000 0.000 0.000
Pt1 Pt 0.250 0.250 0.250
Pu1 Pu 0.500 0.500 0.500
# Spin magnetization (μB/atom): 1.35
# Formation enthalpy at 0 K (meV per atom): -323
# Space group: F-43m
# Calculated volume (Å³ per atom): 22.3
# Final energy (eV per cell): -25.63

No. 6
# RbMgPt3 (GGA-PBE, optimized geometry)
data_RbMgPt3
_cell_length_a 5.117
_cell_length_b 5.117
_cell_length_c 5.117
_cell_angle_alpha 90.00
_cell_angle_beta 90.00
_cell_angle_gamma 90.00
_space_group_name_H-M_alt 'P 1'
_space_group_IT_number 1
loop_
_space_group_symop_operation_xyz
'x,y,z'
loop_
_atom_site_label
_atom_site_type_symbol
_atom_site_fract_x
_atom_site_fract_y
_atom_site_fract_z
Mg1 Mg 0.500 0.500 0.500
Rb1 Rb 0.000 0.000 0.000
Pt1 Pt 0.000 0.500 0.000
Pt2 Pt 0.000 0.000 0.500
Pt3 Pt 0.500 0.000 0.000
# Spin magnetization (μB/atom): 0.00
# Excess energy over the best structure of this formula in the dataset (meV/atom): 1325
# Formation enthalpy at 0 K (meV per atom): 1831
# Space group: Pm-3m
# Calculated volume (Å³ per atom): 26.8
# Final energy (eV per cell): -11.53

No. 7
# Rb2MgPt2 (GGA-PBE, optimized geometry)
data_Rb2MgPt2
_cell_length_a 6.936
_cell_length_b 6.936
_cell_length_c 5.660
_cell_angle_alpha 90.00
_cell_angle_beta 90.00
_cell_angle_gamma 90.00
_space_group_name_H-M_alt 'P 1'
_space_group_IT_number 1
loop_
_space_group_symop_operation_xyz
'x,y,z'
loop_
_atom_site_label
_atom_site_type_symbol
_atom_site_fract_x
_atom_site_fract_y
_atom_site_fract_z
Mg1 Mg 0.000 0.000 0.000
Mg2 Mg 0.500 0.500 0.000
Rb1 Rb 0.174 0.674 0.500
Rb2 Rb 0.674 0.826 0.500
Rb3 Rb 0.826 0.326 0.500
Rb4 Rb 0.326 0.174 0.500
Pt1 Pt 0.368 0.868 0.000
Pt2 Pt 0.868 0.632 0.000
Pt3 Pt 0.632 0.132 0.000
Pt4 Pt 0.132 0.368 0.000
# Spin magnetization (μB/atom): 0.00
# Formation enthalpy at 0 K (meV per atom): -68
# Space group: P4/mbm
# Calculated volume (Å³ per atom): 27.2
# Final energy (eV per cell): -31.91

No. 8
# RbMgPt3 (GGA-PBE, optimized geometry)
data_RbMgPt3
_cell_length_a 4.886
_cell_length_b 4.886
_cell_length_c 4.886
_cell_angle_alpha 90.00
_cell_angle_beta 90.00
_cell_angle_gamma 90.00
_space_group_name_H-M_alt 'P 1'
_space_group_IT_number 1
loop_
_space_group_symop_operation_xyz
'x,y,z'
loop_
_atom_site_label
_atom_site_type_symbol
_atom_site_fract_x
_atom_site_fract_y
_atom_site_fract_z
Mg1 Mg 0.000 0.000 0.000
Rb1 Rb 0.500 0.500 0.500
Pt1 Pt 0.000 0.500 0.000
Pt2 Pt 0.000 0.000 0.500
Pt3 Pt 0.500 0.000 0.000
# Spin magnetization (μB/atom): 0.00
# Excess energy over the best structure of this formula in the dataset (meV/atom): 0
# Formation enthalpy at 0 K (meV per atom): 506
# Space group: Pm-3m
# Calculated volume (Å³ per atom): 23.3
# Final energy (eV per cell): -18.15

No. 9
# RbMg2Pt (GGA-PBE, optimized geometry)
data_RbMg2Pt
_cell_length_a 6.211
_cell_length_b 6.211
_cell_length_c 9.115
_cell_angle_alpha 70.08
_cell_angle_beta 70.08
_cell_angle_gamma 90.00
_space_group_name_H-M_alt 'P 1'
_space_group_IT_number 1
loop_
_space_group_symop_operation_xyz
'x,y,z'
loop_
_atom_site_label
_atom_site_type_symbol
_atom_site_fract_x
_atom_site_fract_y
_atom_site_fract_z
Mg1 Mg 0.875 0.125 0.250
Mg2 Mg 0.875 0.625 0.250
Mg3 Mg 0.375 0.125 0.750
Mg4 Mg 0.875 0.125 0.750
Rb1 Rb 0.500 0.500 0.000
Rb2 Rb 0.250 0.750 0.500
Pt1 Pt 0.000 0.000 0.000
Pt2 Pt 0.750 0.250 0.500
# Spin magnetization (μB/atom): 0.00
# Excess energy over the best structure of this formula in the dataset (meV/atom): 0
# Formation enthalpy at 0 K (meV per atom): -60
# Space group: I4_1/amd
# Calculated volume (Å³ per atom): 38.5
# Final energy (eV per cell): -20.87

No. 10
# RbMgPt2 (GGA-PBE, optimized geometry)
data_RbMgPt2
_cell_length_a 5.179
_cell_length_b 5.179
_cell_length_c 9.599
_cell_angle_alpha 74.35
_cell_angle_beta 74.35
_cell_angle_gamma 90.00
_space_group_name_H-M_alt 'P 1'
_space_group_IT_number 1
loop_
_space_group_symop_operation_xyz
'x,y,z'
loop_
_atom_site_label
_atom_site_type_symbol
_atom_site_fract_x
_atom_site_fract_y
_atom_site_fract_z
Mg1 Mg 0.500 0.500 0.000
Mg2 Mg 0.250 0.750 0.500
Rb1 Rb 0.000 0.000 0.000
Rb2 Rb 0.750 0.250 0.500
Pt1 Pt 0.417 0.125 0.250
Pt2 Pt 0.333 0.625 0.250
Pt3 Pt 0.375 0.583 0.750
Pt4 Pt 0.875 0.667 0.750
# Spin magnetization (μB/atom): 0.00
# Formation enthalpy at 0 K (meV per atom): -79
# Space group: I-42d
# Calculated volume (Å³ per atom): 29.7
# Final energy (eV per cell): -29.92

No. 11
# Rb2MgPt (GGA-PBE, optimized geometry)
data_Rb2MgPt
_cell_length_a 12.621
_cell_length_b 12.621
_cell_length_c 9.279
_cell_angle_alpha 47.15
_cell_angle_beta 47.15
_cell_angle_gamma 90.00
_space_group_name_H-M_alt 'P 1'
_space_group_IT_number 1
loop_
_space_group_symop_operation_xyz
'x,y,z'
loop_
_atom_site_label
_atom_site_type_symbol
_atom_site_fract_x
_atom_site_fract_y
_atom_site_fract_z
Mg1 Mg 0.500 0.500 0.000
Mg2 Mg 0.250 0.750 0.500
Rb1 Rb 0.801 0.125 0.250
Rb2 Rb 0.949 0.625 0.250
Rb3 Rb 0.375 0.199 0.750
Rb4 Rb 0.875 0.051 0.750
Pt1 Pt 0.000 0.000 0.000
Pt2 Pt 0.750 0.250 0.500
# Spin magnetization (μB/atom): 0.00
# Formation enthalpy at 0 K (meV per atom): -23
# Space group: I-42d
# Calculated volume (Å³ per atom): 50.6
# Final energy (eV per cell): -19.32

No. 12
# RbMg2Pt (GGA-PBE, optimized geometry)
data_RbMg2Pt
_cell_length_a 5.112
_cell_length_b 5.112
_cell_length_c 5.112
_cell_angle_alpha 60.00
_cell_angle_beta 60.00
_cell_angle_gamma 60.00
_space_group_name_H-M_alt 'P 1'
_space_group_IT_number 1
loop_
_space_group_symop_operation_xyz
'x,y,z'
loop_
_atom_site_label
_atom_site_type_symbol
_atom_site_fract_x
_atom_site_fract_y
_atom_site_fract_z
Mg1 Mg 0.250 0.250 0.250
Mg2 Mg 0.750 0.750 0.750
Rb1 Rb 0.000 0.000 0.000
Pt1 Pt 0.500 0.500 0.500
# Spin magnetization (μB/atom): 0.00
# Excess energy over the best structure of this formula in the dataset (meV/atom): 164
# Formation enthalpy at 0 K (meV per atom): 104
# Space group: Fm-3m
# Calculated volume (Å³ per atom): 23.6
# Final energy (eV per cell): -9.78